Below is an optimized crystal structure of PrP2Pd6, with properties calculated at the PBE-GGA level.

Properties
Total energy, eV/cell: -51.48
Energy relative to the lowest polymorph listed for this composition, meV/atom: 91
Space-group type: P6/mmm, No. 191

Geometry as extended XYZ:
```
9
Lattice="5.767 0.000 0.000 -2.883 4.994 0.000 0.000 0.000 6.069" Properties=species:S:1:pos:R:3 pbc="T T T"
Pr 0.000 0.000 0.000
P 0.000 3.330 3.035
P 2.883 1.665 3.035
Pd 2.884 0.000 1.404
Pd 1.441 2.497 1.404
Pd -1.442 2.498 1.404
Pd 1.442 2.498 4.666
Pd -1.441 2.497 4.666
Pd 2.883 0.000 4.666
```

---

Below is an optimized crystal structure of PrP3Pd3, with properties calculated at the PBE-GGA level.

Properties
Total energy, eV/cell: -80.35
Energy relative to the lowest polymorph listed for this composition, meV/atom: 20
Space-group type: Pm-3n, No. 223

Geometry as extended XYZ:
```
14
Lattice="6.556 0.000 0.000 0.000 6.556 0.000 0.000 0.000 6.556" Properties=species:S:1:pos:R:3 pbc="T T T"
Pr 3.278 3.278 3.278
Pr 0.000 0.000 0.000
P 1.639 0.000 3.278
P 0.000 3.278 1.639
P 3.278 4.917 0.000
P 4.917 0.000 3.278
P 0.000 3.278 4.917
P 3.278 1.639 0.000
Pd 0.000 1.639 3.278
Pd 0.000 4.917 3.278
Pd 3.278 0.000 4.917
Pd 4.917 3.278 0.000
Pd 3.278 0.000 1.639
Pd 1.639 3.278 0.000
```

---

Below is an optimized crystal structure of PrPPd, with properties calculated at the PBE-GGA level.

Properties
Total energy, eV/cell: -38.14
Space-group type: P6_3/mmc, No. 194

Geometry as extended XYZ:
```
6
Lattice="4.251 0.000 0.000 -2.126 3.682 0.000 0.000 0.000 7.946" Properties=species:S:1:pos:R:3 pbc="T T T"
Pr 0.000 0.000 3.973
Pr 0.000 0.000 0.000
P 2.126 1.227 5.960
P 0.000 2.454 1.987
Pd 0.000 2.454 5.960
Pd 2.126 1.227 1.987
```

---

Below is an optimized crystal structure of PrPPd3, with properties calculated at the PBE-GGA level.

Properties
Total energy, eV/cell: -117.20
Energy relative to the lowest polymorph listed for this composition, meV/atom: 16
Space-group type: C2/c, No. 15

Geometry as extended XYZ:
```
20
Lattice="-0.369 5.558 -1.918 -6.565 0.667 4.602 3.828 2.100 6.757" Properties=species:S:1:pos:R:3 pbc="T T T"
Pr -2.591 5.432 2.081
Pr -3.355 5.305 5.850
Pr -0.516 2.892 7.359
Pr 0.248 3.020 3.591
P 2.543 3.325 6.031
P -5.650 4.999 3.410
P -2.525 2.626 4.979
P -0.581 5.699 4.462
Pd 1.153 5.193 6.037
Pd 1.434 6.721 3.664
Pd -4.259 3.131 3.404
Pd -4.541 1.603 5.777
Pd -2.018 2.730 10.108
Pd -0.047 2.934 0.470
Pd -1.089 5.594 -0.667
Pd -3.060 5.391 8.971
Pd -2.171 2.280 2.048
Pd -3.447 2.894 7.793
Pd -0.936 6.045 7.393
Pd 0.340 5.431 1.648
```

---

Number 1: total magnetization 0.000 Bohr magnetons per cell. Number 2: total magnetization 0.000 Bohr magnetons per cell. Number 3: total magnetization 0.000 Bohr magnetons per cell. Number 4: total magnetization 0.000 Bohr magnetons per cell.